No. 1
An optimized crystal structure of Mg2InAu5. Source: Alexandria via LeMat-Bulk, functional GGA-PBE.

Values from the calculation:
**SG**: Cmmm
**Formation energy**: -0.38 eV per atom
**Total moment**: 0.00 μB/cell
**Total DFT energy (no corrections)**: -50.63 eV for the cell shown

The structure in POSCAR format:
```
Mg2InAu5
1.0
4.444 0.000 0.000
0.000 7.642 0.000
0.000 0.000 8.728
Au Mg In
10 4 2
direct
0.000 0.500 0.000
0.000 0.750 0.250
0.500 0.731 0.500
0.000 0.250 0.250
0.000 0.750 0.750
0.500 0.769 0.000
0.000 0.250 0.750
0.000 0.000 0.500
0.500 0.269 0.500
0.500 0.231 0.000
0.500 0.000 0.725
0.500 0.500 0.225
0.500 0.500 0.775
0.500 0.000 0.275
0.000 0.000 0.000
0.000 0.500 0.500
```



No. 2
An optimized crystal structure of Mg2InAu6. Source: Alexandria via LeMat-Bulk, functional GGA-PBE.

Values from the calculation:
**SG**: Immm
**Formation energy**: -0.26 eV per atom
**Offset from the most stable computed form**: 90.6 meV per atom
**Total moment**: 0.00 μB/cell
**Total DFT energy (no corrections)**: -27.96 eV for the cell shown

The structure in POSCAR format:
```
Mg2InAu6
1.0
3.967 0.000 -0.175
0.000 8.268 0.000
-1.722 -4.134 5.952
Au In Mg
6 1 2
direct
0.500 0.262 0.000
0.832 0.090 0.664
0.168 0.910 0.336
0.832 0.575 0.664
0.168 0.425 0.336
0.500 0.738 0.000
0.000 0.000 0.000
0.329 0.330 0.660
0.671 0.670 0.340
```



No. 3
An optimized crystal structure of Mg8InAu2. Source: Alexandria via LeMat-Bulk, functional GGA-PBE.

Values from the calculation:
**SG**: C2/m
**Formation energy**: -0.27 eV per atom
**Offset from the most stable computed form**: 13.0 meV per atom
**Total moment**: 0.00 μB/cell
**Total DFT energy (no corrections)**: -25.02 eV for the cell shown

The structure in POSCAR format:
```
Mg8InAu2
1.0
-4.476 2.082 -1.070
-2.364 -6.604 2.608
2.318 4.816 5.238
Mg Au In
8 2 1
direct
0.907 0.677 0.925
0.299 0.608 0.608
0.500 0.239 0.761
0.093 0.323 0.075
0.500 0.761 0.239
0.093 0.075 0.323
0.907 0.925 0.677
0.701 0.392 0.392
0.000 0.690 0.310
0.000 0.310 0.690
0.500 0.000 0.000
```



No. 4
An optimized crystal structure of MgIn2Au. Source: Alexandria via LeMat-Bulk, functional GGA-PBE.

Values from the calculation:
**SG**: Cmmm
**Formation energy**: -0.12 eV per atom
**Total moment**: 0.00 μB/cell
**Total DFT energy (no corrections)**: -10.84 eV for the cell shown

The structure in POSCAR format:
```
MgIn2Au
1.0
5.050 0.124 0.000
-1.730 4.746 0.000
0.000 0.000 3.678
In Au Mg
2 1 1
direct
0.000 0.000 0.000
0.500 0.500 0.000
0.000 0.500 0.500
0.500 0.000 0.500
```



No. 5
An optimized crystal structure of Mg8In3Au2. Source: Alexandria via LeMat-Bulk, functional GGA-PBE.

Values from the calculation:
**SG**: Cmmm
**Formation energy**: -0.24 eV per atom
**Total moment**: 0.00 μB/cell
**Total DFT energy (no corrections)**: -30.62 eV for the cell shown

The structure in POSCAR format:
```
Mg8In3Au2
1.0
4.539 0.000 0.000
0.000 8.098 -4.421
0.000 -0.537 8.643
Mg In Au
8 3 2
direct
0.500 0.605 0.711
0.500 0.106 0.711
0.000 0.151 0.303
0.000 0.367 0.735
0.500 0.894 0.289
0.500 0.395 0.289
0.000 0.849 0.697
0.000 0.633 0.265
0.000 0.752 0.000
0.000 0.248 0.000
0.500 0.000 0.000
0.500 0.256 0.512
0.500 0.744 0.488
```



No. 6
An optimized crystal structure of MgIn2Au2. Source: Alexandria via LeMat-Bulk, functional GGA-PBE.

Values from the calculation:
**SG**: Pmmn
**Formation energy**: -0.35 eV per atom
**Total moment**: 0.00 μB/cell
**Total DFT energy (no corrections)**: -30.73 eV for the cell shown

The structure in POSCAR format:
```
MgIn2Au2
1.0
-3.858 1.332 -2.276
-2.491 -0.472 3.946
1.914 9.561 2.352
Au In Mg
4 4 2
direct
0.750 0.750 0.167
0.750 0.750 0.513
0.250 0.250 0.487
0.250 0.250 0.833
0.250 0.750 0.004
0.750 0.250 0.996
0.750 0.250 0.322
0.250 0.750 0.678
0.750 0.250 0.671
0.250 0.750 0.329
```